A relaxed structure of PrNdGa2Pd2. Source: Alexandria via LeMat-Bulk, functional GGA-PBE. Values from VASP.

Values from the calculation:
calculated density: 8.0 g/cm3
uncorrected energy: -30.8 eV/cell
ΔH_f (0 K): -0.80 eV per atom
density of states at the Fermi level: 0.72 states/eV per atom

```
&SYSTEM
  ibrav = 0, nat = 6, ntyp = 4
/
ATOMIC_SPECIES
Pr 140.91 Pr.upf
Nd 144.24 Nd.upf
Ga 69.72 Ga.upf
Pd 106.42 Pd.upf
ATOMIC_POSITIONS crystal
Pr 0.000 0.000 0.000
Nd 0.000 0.000 0.500
Ga 0.333 0.667 0.254
Ga 0.667 0.333 0.746
Pd 0.333 0.667 0.746
Pd 0.667 0.333 0.254
CELL_PARAMETERS angstrom
4.539 0.000 0.000
-2.269 3.931 0.000
0.000 0.000 7.382
```